{"formula": "LiCdAu2", "functional": "GGA-PBE", "state": "optimized geometry", "cell": [[6.581, 0.000, 0.000], [0.000, 6.581, 0.000], [0.000, 0.000, 6.581]], "species": ["Li", "Li", "Li", "Li", "Cd", "Cd", "Cd", "Cd", "Au", "Au", "Au", "Au", "Au", "Au", "Au", "Au"], "fractional_positions": [[0.000, 0.000, 0.000], [0.000, 0.500, 0.500], [0.500, 0.000, 0.500], [0.500, 0.500, 0.000], [0.250, 0.250, 0.250], [0.250, 0.750, 0.750], [0.750, 0.250, 0.750], [0.750, 0.750, 0.250], [0.000, 0.000, 0.500], [0.000, 0.500, 0.000], [0.250, 0.250, 0.750], [0.250, 0.750, 0.250], [0.500, 0.000, 0.000], [0.500, 0.500, 0.500], [0.750, 0.250, 0.250], [0.750, 0.750, 0.750]], "spacegroup": "F-43m, No. 216", "energy_ev_per_atom": -2.702, "dos_at_fermi_per_ev_fu": 1.0}